Entry 1:
First-principles (PBE) data for a relaxed structure of LiTcSN2, as listed in the Alexandria database.

POSCAR file:
```
LiTcSN2
1.0
-1.445 -2.560 2.082
3.059 -0.188 1.892
-1.487 3.041 2.707
N Tc S Li
2 1 1 1
Cartesian
1.530 -0.094 0.946 N
-0.723 -1.280 1.041 N
0.063 0.146 3.340 Tc
-0.744 1.520 1.353 S
0.000 0.000 0.000 Li
```

- energy relative to the elements, uncorrected (eV/atom) = 1.665
- ΔE to the lowest computed polymorph (meV/atom) = 1519
- N(E_F) (states/eV/atom) = 0.8406
- magnetization (μB per atom) = 0.19

Entry 2:
First-principles (PBE) data for a relaxed structure of LiTcSN2, as listed in the Alexandria database.

POSCAR file:
```
LiTcSN2
1.0
-1.358 -3.494 -0.623
3.488 -1.437 0.454
-0.867 -0.544 4.937
Tc S N Li
1 1 2 1
Cartesian
0.000 0.000 0.000 Tc
-0.433 -0.272 2.469 S
1.744 -0.718 0.227 N
-0.679 -1.747 -0.312 N
0.632 -2.737 2.384 Li
```

- energy relative to the elements, uncorrected (eV/atom) = 0.147
- ΔE to the lowest computed polymorph (meV/atom) = 0
- N(E_F) (states/eV/atom) = 0.3150
- magnetization (μB per atom) = 0.00

Repeat the first record exactly.
First-principles (PBE) data for a relaxed structure of LiTcSN2, as listed in the Alexandria database.

POSCAR file:
```
LiTcSN2
1.0
-1.445 -2.560 2.082
3.059 -0.188 1.892
-1.487 3.041 2.707
N Tc S Li
2 1 1 1
Cartesian
1.530 -0.094 0.946 N
-0.723 -1.280 1.041 N
0.063 0.146 3.340 Tc
-0.744 1.520 1.353 S
0.000 0.000 0.000 Li
```

- energy relative to the elements, uncorrected (eV/atom) = 1.665
- ΔE to the lowest computed polymorph (meV/atom) = 1519
- N(E_F) (states/eV/atom) = 0.8406
- magnetization (μB per atom) = 0.19

Which value of energy relative to the elements, uncorrected does entry 2 give?
0.147 eV/atom

What is the formula in the first record?
LiTcSN2